Compound: CuPb2Se
Source: the Alexandria database
Functional: PBE
Structure: optimized geometry

## Properties
E_form (uncorrected): 20 meV per atom

Unit cell a=6.041 b=6.041 c=6.041 alpha=144.75 beta=127.61 gamma=64.73
Sites, in units of the cell vectors:
Cu  0.000  0.000  0.000
Pb  0.492  0.492  0.000
Pb  0.778  0.278  0.500
Se  0.162  0.662  0.500

***

Compound: CuPb2Se
Source: the Alexandria database
Functional: PBE
Structure: optimized geometry

## Properties
E_form (uncorrected): -10 meV per atom

Unit cell a=4.052 b=4.052 c=7.656 alpha=105.39 beta=105.39 gamma=59.90
Sites, in units of the cell vectors:
Cu  0.000  0.000  0.000
Pb  0.256  0.256  0.770
Pb  0.744  0.744  0.230
Se  0.500  0.500  0.500

***

Compound: Cu8PbSe6
Source: the Alexandria database
Functional: PBE
Structure: optimized geometry

## Properties
E_form (uncorrected): -140 meV per atom

Unit cell a=8.544 b=8.544 c=8.544 alpha=47.41 beta=47.41 gamma=47.41
Sites, in units of the cell vectors:
Cu  0.060  0.060  0.060
Cu  0.124  0.617  0.333
Cu  0.333  0.124  0.617
Cu  0.383  0.667  0.876
Cu  0.617  0.333  0.124
Cu  0.667  0.876  0.383
Cu  0.876  0.383  0.667
Cu  0.940  0.940  0.940
Pb  0.500  0.500  0.500
Se  0.061  0.436  0.749
Se  0.251  0.939  0.564
Se  0.436  0.749  0.061
Se  0.564  0.251  0.939
Se  0.749  0.061  0.436
Se  0.939  0.564  0.251

***

Compound: CuPb2Se
Source: the Alexandria database
Functional: PBE
Structure: optimized geometry

## Properties
E_form (uncorrected): 26 meV per atom

Unit cell a=3.537 b=3.537 c=8.492 alpha=90.00 beta=90.00 gamma=90.00
Sites, in units of the cell vectors:
Cu  0.000  0.000  0.000
Pb  0.000  0.000  0.660
Pb  0.500  0.500  0.379
Se  0.500  0.500  0.019

***

Compound: CuPb2Se
Source: the Alexandria database
Functional: PBE
Structure: optimized geometry

## Properties
E_form (uncorrected): 74 meV per atom

Unit cell a=3.695 b=3.695 c=7.096 alpha=90.00 beta=90.00 gamma=90.00
Sites, in units of the cell vectors:
Cu  0.000  0.000  0.000
Pb  0.500  0.500  0.237
Pb  0.500  0.500  0.763
Se  0.000  0.000  0.500

***

Compound: CuPbSe4
Source: the Alexandria database
Functional: PBE
Structure: optimized geometry

## Properties
E_form (uncorrected): 494 meV per atom

Unit cell a=5.804 b=5.804 c=5.804 alpha=60.00 beta=60.00 gamma=60.00
Sites, in units of the cell vectors:
Cu  0.000  0.000  0.000
Pb  0.750  0.750  0.750
Se  0.374  0.374  0.374
Se  0.374  0.374  0.878
Se  0.374  0.878  0.374
Se  0.878  0.374  0.374

***

Compound: CuPb2Se
Source: the Alexandria database
Functional: PBE
Structure: optimized geometry

## Properties
E_form (uncorrected): 305 meV per atom

Unit cell a=5.199 b=5.199 c=5.199 alpha=60.00 beta=60.00 gamma=60.00
Sites, in units of the cell vectors:
Cu  0.000  0.000  0.000
Pb  0.250  0.250  0.250
Pb  0.500  0.500  0.500
Se  0.750  0.750  0.750

***

Compound: CuPb2Se
Source: the Alexandria database
Functional: PBE
Structure: optimized geometry

## Properties
E_form (uncorrected): -51 meV per atom

Unit cell a=4.934 b=3.829 c=5.855 alpha=90.00 beta=114.15 gamma=90.00
Sites, in units of the cell vectors:
Cu  0.000  0.000  0.000
Pb  0.285  0.500  0.812
Pb  0.583  0.000  0.462
Se  0.923  0.500  0.239